[1]
Density functional theory data (PBE) for CdP2IrO after structural relaxation.

Output
total magnetic moment	0.0	μB/f.u.
raw formation energy	208	meV/atom
total energy	-4.903	eV/atom

Cell and atoms, written as POSCAR:
```
CdP2IrO
1.0
4.922 0.000 0.000
0.000 4.922 0.000
0.000 0.000 3.703
Cd P Ir O
1 2 1 1
Direct
0.000 0.000 0.000 Cd
0.000 0.500 0.500 P
0.500 0.000 0.500 P
0.500 0.500 0.500 Ir
0.500 0.500 0.000 O
```

***

[2]
Density functional theory data (PBE) for CdPIrO2 after structural relaxation.

Output
total magnetic moment	0.0	μB/f.u.
raw formation energy	-226	meV/atom
total energy	-5.247	eV/atom

Cell and atoms, written as POSCAR:
```
CdPIrO2
1.0
3.808 0.000 0.000
0.000 3.808 0.000
0.000 0.000 5.325
Cd P Ir O
1 1 1 2
Direct
0.000 0.000 0.000 Cd
0.500 0.500 0.000 P
0.500 0.500 0.500 Ir
0.000 0.500 0.500 O
0.500 0.000 0.500 O
```

***

[3]
Density functional theory data (PBE) for CdP2IrO8 after structural relaxation.

Output
total magnetic moment	0.9	μB/f.u.
raw formation energy	-1490	meV/atom
total energy	-6.512	eV/atom

Cell and atoms, written as POSCAR:
```
CdP2IrO8
1.0
5.137 0.000 0.000
-2.568 4.449 0.000
0.000 0.000 6.677
Cd P Ir O
1 2 1 8
Direct
0.000 0.000 0.000 Cd
0.333 0.667 0.225 P
0.667 0.333 0.775 P
0.000 0.000 0.500 Ir
0.166 0.333 0.299 O
0.166 0.834 0.299 O
0.333 0.166 0.701 O
0.333 0.667 0.000 O
0.667 0.333 0.000 O
0.667 0.834 0.299 O
0.834 0.166 0.701 O
0.834 0.667 0.701 O
```